1.
A plane-wave DFT calculation with PBE-GGA was carried out for crystalline BaSn2Pd4 at its relaxed geometry.

Cell and atoms, written as POSCAR:
```
BaSn2Pd4
1.0
-4.223 4.223 4.228
4.223 -4.223 4.228
4.223 4.223 -4.228
Ba Sn Pd
2 4 8
Direct
0.250 0.250 0.000
0.750 0.750 0.000
0.150 0.650 0.799
0.350 0.150 0.500
0.650 0.850 0.500
0.850 0.350 0.201
0.018 0.810 0.500
0.190 0.690 0.208
0.310 0.518 0.500
0.482 0.982 0.792
0.518 0.018 0.208
0.690 0.482 0.500
0.810 0.310 0.792
0.982 0.190 0.500
```

Properties
- energy above the most stable polymorph in this dataset (meV per atom) = 0.0
- symmetry = I4/mcm, No. 140
- total energy (hartree per atom) = -0.1844
- D(E_F) (states/eV per cell) = 9.0
- volume (Å³ per cell) = 301.5



2.
A plane-wave DFT calculation with PBE-GGA was carried out for crystalline BaLa2TeO8 at its relaxed geometry.

Cell and atoms, written as POSCAR:
```
BaLa2TeO8
1.0
5.777 0.000 0.000
1.849 5.483 0.000
1.176 1.675 6.981
Ba La Te O
1 2 1 8
Direct
0.000 0.000 0.000
0.421 0.338 0.330
0.579 0.662 0.670
0.000 0.000 0.500
0.100 0.205 0.261
0.238 0.068 0.628
0.265 0.705 0.448
0.427 0.628 0.013
0.573 0.372 0.987
0.735 0.295 0.552
0.762 0.932 0.372
0.900 0.795 0.739
```

Properties
- symmetry = P-1, No. 2
- total energy (hartree per atom) = -0.2525
- D(E_F) (states/eV per cell) = 0.0
- volume (Å³ per cell) = 221.1



3.
A plane-wave DFT calculation with PBE-GGA was carried out for crystalline TlOs3Se at its relaxed geometry.

Cell and atoms, written as POSCAR:
```
TlOs3Se
1.0
4.587 0.000 0.000
0.000 4.587 0.000
0.000 0.000 4.587
Tl Os Se
1 3 1
Direct
0.000 0.000 0.000
0.000 0.500 0.500
0.500 0.000 0.500
0.500 0.500 0.000
0.500 0.500 0.500
```

Properties
- energy above the most stable polymorph in this dataset (meV per atom) = 0.0
- symmetry = Pm-3m, No. 221
- total energy (hartree per atom) = -0.2257
- D(E_F) (states/eV per cell) = 4.7
- volume (Å³ per cell) = 96.5



4.
A plane-wave DFT calculation with PBE-GGA was carried out for crystalline Pr3NdHoTm at its relaxed geometry.

Cell and atoms, written as POSCAR:
```
Pr3NdHoTm
1.0
2.572 -7.747 0.000
2.572 7.747 0.000
0.000 0.000 10.261
Pr Nd Ho Tm
6 2 2 2
Direct
0.166 0.834 0.501
0.166 0.834 0.999
0.333 0.667 0.750
0.667 0.333 0.250
0.834 0.166 0.001
0.834 0.166 0.499
0.500 0.500 0.000
0.500 0.500 0.500
0.002 0.998 0.750
0.998 0.002 0.250
0.335 0.665 0.250
0.665 0.335 0.750
```

Properties
- symmetry = Cmcm, No. 63
- total energy (hartree per atom) = -0.1717
- D(E_F) (states/eV per cell) = 18.2
- volume (Å³ per cell) = 408.9



5.
A plane-wave DFT calculation with PBE-GGA was carried out for crystalline NbTl3N at its relaxed geometry.

Cell and atoms, written as POSCAR:
```
NbTl3N
1.0
4.845 0.000 0.000
0.000 4.845 0.000
0.000 0.000 4.845
Nb Tl N
1 3 1
Direct
0.000 0.000 0.000
0.000 0.500 0.500
0.500 0.000 0.500
0.500 0.500 0.000
0.500 0.500 0.500
```

Properties
- energy above the most stable polymorph in this dataset (meV per atom) = 0.0
- symmetry = Pm-3m, No. 221
- total energy (hartree per atom) = -0.1414
- D(E_F) (states/eV per cell) = 4.1
- volume (Å³ per cell) = 113.7



6.
A plane-wave DFT calculation with PBE-GGA was carried out for crystalline BaSn2H2O4 at its relaxed geometry.

Cell and atoms, written as POSCAR:
```
BaSn2H2O4
1.0
7.326 0.000 0.000
0.000 5.877 0.000
-2.275 0.000 7.379
Ba Sn H O
2 4 4 8
Direct
0.186 0.000 0.430
0.814 0.500 0.570
0.088 0.001 0.886
0.349 0.501 0.843
0.651 0.001 0.157
0.912 0.501 0.114
0.289 0.502 0.211
0.367 0.502 0.509
0.633 0.002 0.491
0.711 0.002 0.789
0.145 0.750 0.719
0.147 0.251 0.719
0.204 0.502 0.288
0.469 0.503 0.628
0.531 0.003 0.372
0.796 0.002 0.712
0.853 0.751 0.281
0.855 0.250 0.281
```

Properties
- symmetry = P2_1, No. 4
- total energy (hartree per atom) = -0.2080
- D(E_F) (states/eV per cell) = 0.0
- volume (Å³ per cell) = 317.7



7.
A plane-wave DFT calculation with PBE-GGA was carried out for crystalline NbAgIr2 at its relaxed geometry.

Cell and atoms, written as POSCAR:
```
NbAgIr2
1.0
0.000 3.182 3.182
3.182 0.000 3.182
3.182 3.182 0.000
Nb Ag Ir
1 1 2
Direct
0.000 0.000 0.000
0.500 0.500 0.500
0.250 0.250 0.250
0.750 0.750 0.750
```

Properties
- energy above the most stable polymorph in this dataset (meV per atom) = 0.0
- symmetry = Fm-3m, No. 225
- total energy (hartree per atom) = -0.2836
- D(E_F) (states/eV per cell) = 0.7
- volume (Å³ per cell) = 64.5



8.
A plane-wave DFT calculation with PBE-GGA was carried out for crystalline NdDyHo3Sc at its relaxed geometry.

Cell and atoms, written as POSCAR:
```
NdDyHo3Sc
1.0
2.481 -7.437 0.000
2.481 7.437 0.000
0.000 0.000 9.956
Nd Dy Ho Sc
2 2 6 2
Direct
0.002 0.998 0.750
0.998 0.002 0.250
0.500 0.500 0.000
0.500 0.500 0.500
0.168 0.832 0.000
0.168 0.832 0.500
0.330 0.670 0.750
0.670 0.330 0.250
0.832 0.168 0.000
0.832 0.168 0.500
0.332 0.668 0.250
0.668 0.332 0.750
```

Properties
- symmetry = Cmcm, No. 63
- total energy (hartree per atom) = -0.1789
- D(E_F) (states/eV per cell) = 17.8
- volume (Å³ per cell) = 367.5